i | ! NaSr4Cd, relaxed, DFT PBE-GGA; values from VASP
! **SG**: P2_1/c, No. 14
&SYSTEM
  ibrav = 0, nat = 12, ntyp = 3
/
ATOMIC_SPECIES
Na 22.99 Na.upf
Sr 87.62 Sr.upf
Cd 112.41 Cd.upf
CELL_PARAMETERS angstrom
8.524 0.000 -0.362
0.000 8.360 0.000
-0.495 0.000 8.431
ATOMIC_POSITIONS crystal
Na 0.000 0.000 0.000
Na 0.500 0.500 0.000
Sr 0.877 0.644 0.159
Sr 0.623 0.144 0.841
Sr 0.318 0.338 0.364
Sr 0.182 0.838 0.636
Sr 0.123 0.356 0.841
Sr 0.377 0.856 0.159
Sr 0.682 0.662 0.636
Sr 0.818 0.162 0.364
Cd 0.500 0.000 0.500
Cd 0.000 0.500 0.500

ii | ! NaSr4Cd, relaxed, DFT PBE-GGA; values from VASP
! **SG**: P4/mmm, No. 123
&SYSTEM
  ibrav = 0, nat = 6, ntyp = 3
/
ATOMIC_SPECIES
Na 22.99 Na.upf
Sr 87.62 Sr.upf
Cd 112.41 Cd.upf
CELL_PARAMETERS angstrom
-0.512 -2.045 -3.527
2.383 -3.035 1.413
-12.730 -7.190 6.018
ATOMIC_POSITIONS crystal
Na 0.000 0.000 0.000
Sr 0.500 0.500 0.827
Sr 0.500 0.500 0.173
Sr 0.000 0.000 0.626
Sr 0.000 0.000 0.374
Cd 0.500 0.500 0.500

Which one sits at the top of the stability order? ii does.

i | ! Na2SrCd6, relaxed, DFT PBE-GGA; values from VASP
! **SG**: P6/mmm, No. 191
&SYSTEM
  ibrav = 0, nat = 9, ntyp = 3
/
ATOMIC_SPECIES
Na 22.99 Na.upf
Sr 87.62 Sr.upf
Cd 112.41 Cd.upf
CELL_PARAMETERS angstrom
3.581 0.000 0.000
0.000 7.682 -4.435
0.000 0.000 8.871
ATOMIC_POSITIONS crystal
Na 0.000 0.333 0.667
Na 0.000 0.667 0.333
Sr 0.000 0.000 0.000
Cd 0.500 0.338 0.338
Cd 0.500 0.662 0.662
Cd 0.500 0.000 0.662
Cd 0.500 0.662 0.000
Cd 0.500 0.338 0.000
Cd 0.500 0.000 0.338

ii | ! Na2SrCd6, relaxed, DFT PBE-GGA; values from VASP
! **SG**: Immm, No. 71
&SYSTEM
  ibrav = 0, nat = 9, ntyp = 3
/
ATOMIC_SPECIES
Na 22.99 Na.upf
Sr 87.62 Sr.upf
Cd 112.41 Cd.upf
CELL_PARAMETERS angstrom
-1.827 -1.469 2.748
7.420 -3.652 2.980
-1.444 8.738 1.337
ATOMIC_POSITIONS crystal
Na 0.855 0.855 0.709
Na 0.145 0.145 0.291
Sr 0.000 0.500 0.000
Cd 0.676 0.852 0.352
Cd 0.324 0.148 0.648
Cd 0.324 0.501 0.648
Cd 0.500 0.168 0.000
Cd 0.500 0.832 0.000
Cd 0.676 0.499 0.352

Which one sits at the top of the stability order? i does.

i | ! Na3Sr6Cd, relaxed, DFT PBE-GGA; values from VASP
! **SG**: P2_1/m, No. 11
&SYSTEM
  ibrav = 0, nat = 20, ntyp = 3
/
ATOMIC_SPECIES
Na 22.99 Na.upf
Sr 87.62 Sr.upf
Cd 112.41 Cd.upf
CELL_PARAMETERS angstrom
-1.614 0.667 -6.068
-5.483 -9.210 0.446
-8.477 10.780 3.440
ATOMIC_POSITIONS crystal
Na 0.250 0.521 0.381
Na 0.750 0.479 0.619
Na 0.250 0.410 0.767
Na 0.750 0.590 0.233
Na 0.250 0.764 0.966
Na 0.750 0.236 0.034
Sr 0.250 0.488 0.093
Sr 0.750 0.512 0.907
Sr 0.250 0.124 0.154
Sr 0.750 0.876 0.846
Sr 0.250 0.695 0.670
Sr 0.750 0.305 0.330
Sr 0.250 0.222 0.491
Sr 0.750 0.778 0.509
Sr 0.250 0.854 0.332
Sr 0.750 0.146 0.668
Sr 0.250 0.122 0.852
Sr 0.750 0.878 0.148
Cd 0.250 0.967 0.595
Cd 0.750 0.033 0.405

ii | ! Na3Sr6Cd, relaxed, DFT PBE-GGA; values from VASP
! **SG**: P2_1/c, No. 14
&SYSTEM
  ibrav = 0, nat = 20, ntyp = 3
/
ATOMIC_SPECIES
Na 22.99 Na.upf
Sr 87.62 Sr.upf
Cd 112.41 Cd.upf
CELL_PARAMETERS angstrom
-2.575 4.903 3.020
-2.797 -6.542 8.236
11.722 2.489 5.959
ATOMIC_POSITIONS crystal
Na 0.502 0.840 0.737
Na 0.500 0.500 0.000
Na 0.498 0.160 0.263
Na 0.002 0.660 0.236
Na 0.000 0.000 0.500
Na 0.998 0.340 0.764
Sr 0.501 0.154 0.922
Sr 0.501 0.184 0.579
Sr 0.502 0.494 0.258
Sr 0.498 0.506 0.742
Sr 0.499 0.816 0.421
Sr 0.499 0.846 0.078
Sr 0.001 0.346 0.422
Sr 0.001 0.316 0.079
Sr 0.002 0.006 0.758
Sr 0.998 0.994 0.242
Sr 0.999 0.684 0.921
Sr 0.999 0.654 0.578
Cd 0.500 0.500 0.500
Cd 0.000 0.000 0.000

Which one sits at the top of the stability order? i does.

i | ! Na3SrCd8, relaxed, DFT PBE-GGA; values from VASP
! **SG**: P3m1, No. 156
&SYSTEM
  ibrav = 0, nat = 12, ntyp = 3
/
ATOMIC_SPECIES
Na 22.99 Na.upf
Sr 87.62 Sr.upf
Cd 112.41 Cd.upf
CELL_PARAMETERS angstrom
6.067 0.000 0.000
-3.034 5.254 0.000
0.000 0.000 9.792
ATOMIC_POSITIONS crystal
Na 0.667 0.333 0.428
Na 0.667 0.333 0.061
Na 0.000 0.000 0.945
Sr 0.000 0.000 0.562
Cd 0.333 0.667 0.499
Cd 0.333 0.667 0.001
Cd 0.504 0.008 0.753
Cd 0.504 0.496 0.753
Cd 0.992 0.496 0.753
Cd 0.163 0.326 0.248
Cd 0.163 0.837 0.248
Cd 0.674 0.837 0.248

ii | ! Na3SrCd8, relaxed, DFT PBE-GGA; values from VASP
! **SG**: R3m, No. 160
&SYSTEM
  ibrav = 0, nat = 12, ntyp = 3
/
ATOMIC_SPECIES
Na 22.99 Na.upf
Sr 87.62 Sr.upf
Cd 112.41 Cd.upf
CELL_PARAMETERS angstrom
5.742 0.000 1.733
2.609 5.115 1.733
-0.096 -0.059 10.693
ATOMIC_POSITIONS crystal
Na 0.374 0.374 0.877
Na 0.003 0.003 0.992
Na 0.496 0.496 0.512
Sr 0.875 0.875 0.375
Cd 0.939 0.439 0.184
Cd 0.436 0.937 0.689
Cd 0.439 0.439 0.184
Cd 0.937 0.937 0.689
Cd 0.187 0.187 0.439
Cd 0.688 0.688 0.936
Cd 0.439 0.939 0.184
Cd 0.937 0.436 0.689

Which one sits at the top of the stability order? i does.